CrSbN2F | PBE+U | relaxed

```
data_CrSbN2F
_space_group_name_H-M_alt 'P 1'
_space_group_IT_number 1
_cell_length_a 4.021
_cell_length_b 4.021
_cell_length_c 3.794
_cell_angle_alpha 90.00
_cell_angle_beta 90.00
_cell_angle_gamma 90.00
loop_
_space_group_symop_operation_xyz
'x,y,z'
loop_
_atom_site_label
_atom_site_type_symbol
_atom_site_fract_x
_atom_site_fract_y
_atom_site_fract_z
Cr1 Cr 0.000 0.000 0.000
Sb1 Sb 0.500 0.500 0.500
N1 N 0.000 0.500 0.000
N2 N 0.500 0.000 0.000
F1 F 0.000 0.000 0.500
```

## Properties
As for the crystal system: tetragonal. The total magnetic moment is 2.0 μB per cell. As for the space group: P4/mmm, No. 123. The calculation puts the energy above the most stable polymorph in this dataset at 0.000 eV per formula unit. Its total energy is -0.2204 Ha/atom.